Density functional theory data (PBE) for a geometry-optimized LaIn3Hg structure.

It has space group C2/c (No. 15), with a = 13.0838 Å, b = 10.4355 Å, c = 8.4998 Å, α = 90.00°, β = 108.52° and γ = 90.00°. The distinct sites, in fractional coordinates, are La at (0.0000, 0.1139, 0.2500), La at (0.0000, 0.3668, 0.7500), In at (0.1364, 0.1257, 0.6508), In at (0.1814, 0.1345, 0.0284), In at (0.1905, 0.3856, 0.5399) and Hg at (0.1078, 0.3744, 0.1565).

The calculated formation energy comes out at -29.8 kJ/mol of atoms. Its crystal system is monoclinic. Its energy above the most stable polymorph in this dataset is 0.00 kJ per mole of atoms. The value obtained for the total energy is -2.998 eV/atom.